Computed, not measured: a relaxed MnCrSb2 crystal at the GGA-PBE level of DFT.

a b c (Å): 3.460 3.700 6.443
angles (deg): 90.00 101.20 90.00
Space group P2/m (No. 10)
Unique sites:
Mn 0.000 0.000 0.000
Cr 0.000 0.000 0.500
Sb 0.493 0.500 0.250

Summary:
VASP energy: -6.43 eV/atom
E_form (uncorrected): 0.333 eV per atom
volume: 20.23 Å³ per atom
energy above the most stable polymorph in this dataset: 0.302 eV/atom